1.
First-principles (GGA-PBE) data for a relaxed Pr2NdTh3Se6 crystal, as listed in Alexandria.

Calculated values
M_tot, μB per atom: 0.000
Uncorrected formation energy, eV/atom: -1.675

Cell and atoms, written as CIF:
```
data_Pr2NdTh3Se6
_cell_length_a 18.530
_cell_length_b 4.238
_cell_length_c 8.433
_cell_angle_alpha 90.00
_cell_angle_beta 104.48
_cell_angle_gamma 90.00
_space_group_name_H-M_alt 'C 1 2/m 1'
_space_group_IT_number 12
loop_
_space_group_symop_operation_xyz
'x,y,z'
'-x,-y,-z'
'-x,y,-z'
'x,-y,z'
'x+1/2,y+1/2,z'
'-x+1/2,-y+1/2,-z'
'-x+1/2,y+1/2,-z'
'x+1/2,-y+1/2,z'
loop_
_atom_site_label
_atom_site_fract_x
_atom_site_fract_y
_atom_site_fract_z
Pr1 0.166 0.000 0.333
Nd1 0.000 0.500 0.000
Th1 0.000 0.500 0.500
Th2 0.167 0.000 0.834
Se1 0.001 0.000 0.751
Se2 0.166 0.500 0.082
Se3 0.166 0.500 0.585
```

2.
First-principles (GGA-PBE) data for a relaxed RbCdTe2N crystal, as listed in Alexandria.

Calculated values
M_tot, μB per atom: 1.053
Uncorrected formation energy, eV/atom: 1.418
Energy relative to the lowest polymorph listed for this composition, meV per atom: 879

Cell and atoms, written as CIF:
```
data_RbCdTe2N
_cell_length_a 6.743
_cell_length_b 6.743
_cell_length_c 5.344
_cell_angle_alpha 90.00
_cell_angle_beta 90.00
_cell_angle_gamma 90.00
_space_group_name_H-M_alt 'P 4/m m m'
_space_group_IT_number 123
_space_group_name_Hall '-P 4 2'
loop_
_atom_site_label
_atom_site_fract_x
_atom_site_fract_y
_atom_site_fract_z
Rb1 0.000 0.000 0.000
Cd1 0.500 0.500 0.500
Te1 0.000 0.500 0.000
N1 0.000 0.000 0.500
```

3.
First-principles (GGA-PBE) data for a relaxed Cr2B2As crystal, as listed in Alexandria.

Calculated values
M_tot, μB per atom: 0.119
Energy relative to the elements, meV/atom: 54
Energy relative to the lowest polymorph listed for this composition, meV per atom: 0

Cell and atoms, written as CIF:
```
data_Cr2B2As
_cell_length_a 2.876
_cell_length_b 2.876
_cell_length_c 12.288
_cell_angle_alpha 90.00
_cell_angle_beta 90.00
_cell_angle_gamma 90.00
_space_group_name_H-M_alt 'I 4/m m m'
_space_group_IT_number 139
_space_group_name_Hall '-I 4 2'
loop_
_atom_site_label
_atom_site_fract_x
_atom_site_fract_y
_atom_site_fract_z
Cr1 0.000 0.000 0.117
B1 0.000 0.500 0.250
As1 0.000 0.000 0.500
```

> Which of these has the lowest M_tot?

Pr2NdTh3Se6